La5Y | meta-GGA SCAN | PBEsol geometry

Cell lengths 6.310, 6.310, 5.885 Å; angles 90.00, 90.00, 120.00 degrees
Fractional positions:
La1 0.000 0.666 0.000
La2 0.333 0.667 0.500
La3 0.334 0.334 0.000
La4 0.666 0.000 0.000
La5 0.667 0.333 0.500
Y1 0.000 0.000 0.500

- Magnetization: 0.00 μB per formula unit
- Energy relative to the lowest polymorph listed for this composition: 8 kJ/mol of formula units
- Energy: -40.53 eV/atom